First-principles (PBE with a Hubbard U) data for a relaxed Ni2WF11 crystal, as listed in Alexandria via LeMat-Bulk.

Summary:
- VASP energy (eV per cell) = -122.7

Structure (extended XYZ):
```
28
Lattice="0.255 6.894 -2.351 -3.876 5.480 4.353 5.539 4.761 3.266" Properties=species:S:1:pos:R:3 pbc="T T T"
Ni -0.639 9.825 2.437
Ni 2.557 7.310 2.831
Ni 4.112 10.648 1.491
Ni -2.195 6.488 3.778
W 1.438 12.851 3.951
W 0.479 4.284 1.317
F 0.588 11.063 3.535
F 1.330 6.072 1.733
F 1.750 7.072 4.711
F 0.982 14.739 4.518
F 0.168 10.063 0.557
F 0.935 2.396 0.750
F 2.177 11.637 5.391
F -0.260 5.498 -0.123
F 0.959 8.568 2.634
F 0.000 0.000 0.000
F -1.678 11.395 2.057
F 3.595 5.740 3.211
F 2.963 9.245 2.124
F -1.046 7.890 3.145
F -2.039 9.929 4.287
F 3.956 7.207 0.982
F 4.377 8.206 3.959
F 2.075 3.893 2.360
F -2.459 8.929 1.309
F -0.158 13.242 2.909
F -0.833 5.348 2.282
F 2.751 11.787 2.986
```